Below is an optimized crystal structure of Pm3TmPt2, with properties calculated at the GGA-PBE level.

a = 16.2893 Å, b = 4.5428 Å, c = 10.4448 Å
α = 90.00°, β = 113.00°, γ = 90.00°
Last column: nearest neighbours and their distance in Å.
Space group C2/m (No. 12)
Inequivalent atoms, fractional coordinates:
1 Pm 0.0536 0.0000 0.2095 x4  3 Pt 2.94-3.00
2 Pm 0.1666 0.5000 0.0268 x4  3 Pt 2.95-2.97
3 Pm 0.2043 0.0000 0.5922 x4  4 Pt 2.94-3.13
4 Tm 0.0694 0.5000 0.6648 x4  4 Pt 2.80-3.02
5 Pt 0.1160 0.5000 0.4120 x4  2 Tm 2.80-3.02, 5 Pm 2.94-3.00
6 Pt 0.1360 0.0000 0.8333 x4  2 Tm 2.82, 5 Pm 2.94-3.13

## Properties
offset from the most stable computed form: 0.39 eV/f.u.
energy of formation from the pure elements: -4.8 eV/f.u.

---

Below is an optimized crystal structure of PaV2As, with properties calculated at the GGA-PBE level.

a = 3.3049 Å, b = 3.3049 Å, c = 6.3783 Å
α = 90.00°, β = 90.00°, γ = 90.00°
Last column: nearest neighbours and their distance in Å.
Space group P4/mmm (No. 123)
Inequivalent atoms, fractional coordinates:
1 Pa 0.0000 0.0000 0.0000 x1  8 V 3.09, 2 As 3.19, 4 Pa 3.30
2 V 0.5000 0.5000 0.3176 x2  1 V 2.33
3 As 0.0000 0.0000 0.5000 x1  8 V 2.61

## Properties
offset from the most stable computed form: 0.41 eV/f.u.
energy of formation from the pure elements: -0.3 eV/f.u.

---

Below is an optimized crystal structure of RhPb2Br, with properties calculated at the GGA-PBE level.

a = 16.1011 Å, b = 3.6533 Å, c = 3.8393 Å
α = 90.00°, β = 90.33°, γ = 90.00°
Last column: nearest neighbours and their distance in Å.
Space group Cm (No. 8)
Inequivalent atoms, fractional coordinates:
1 Rh 0.0000 0.0000 0.0000 x2  6 Pb 2.80-2.81
2 Pb 0.1320 0.5000 0.0058 x2  2 Rh 2.80
3 Pb 0.4423 0.0000 0.4988 x2  4 Rh 2.81, 1 Br 3.07
4 Br 0.2515 0.0000 0.5102 x2  5 Pb 3.07-3.28

## Properties
offset from the most stable computed form: 0.26 eV/f.u.
formation energy without anion corrections: -0.1095 eV per atom

---

Below is an optimized crystal structure of AcTeS, with properties calculated at the GGA-PBE level.

a = 4.4112 Å, b = 4.4112 Å, c = 18.1528 Å
α = 90.00°, β = 90.00°, γ = 90.00°
Last column: nearest neighbours and their distance in Å.
Space group I4/mmm (No. 139)
Inequivalent atoms, fractional coordinates:
1 Ac 0.0000 0.0000 0.1527 x4  5 S 2.97-3.17
2 Te 0.0000 0.5000 0.0000 x4  4 Te 3.12
3 S 0.0000 0.0000 0.3162 x4  5 Ac 2.97-3.17

## Properties
offset from the most stable computed form: 0.05 eV/f.u.
formation energy without anion corrections: -1.6423 eV per atom